KSmCuO2: optimized geometry, PBE-GGA. Values from VASP.

The structure in Quantum ESPRESSO input format:
```
&SYSTEM
  ibrav = 0, nat = 10, ntyp = 4
/
ATOMIC_SPECIES
K 39.10 K.upf
Sm 150.36 Sm.upf
Cu 63.55 Cu.upf
O 16.00 O.upf
ATOMIC_POSITIONS angstrom
K -0.001 0.009 1.731
K -0.003 5.279 5.193
Sm 2.983 2.645 1.731
Sm 2.981 2.642 5.193
Cu 2.984 0.000 0.000
Cu 2.982 0.000 3.462
O 1.920 1.553 3.460
O 1.918 3.735 6.922
O 4.046 1.553 0.002
O 4.044 3.735 3.464
CELL_PARAMETERS angstrom
5.969 0.000 0.000
0.000 5.288 0.000
-0.004 0.000 6.924
```

The density is 4.3 g cm⁻³. Its space-group type is P2/c, No. 13. The total energy comes out at -55.716 eV/cell. As for the uncorrected formation energy: -8.029 eV per formula unit.

Pu3AlHg2Pd3: optimized geometry, PBE-GGA. Values from VASP.

The structure in Quantum ESPRESSO input format:
```
&SYSTEM
  ibrav = 0, nat = 9, ntyp = 4
/
ATOMIC_SPECIES
Pu 244.00 Pu.upf
Al 26.98 Al.upf
Hg 200.59 Hg.upf
Pd 106.42 Pd.upf
ATOMIC_POSITIONS angstrom
Pu -1.513 2.621 0.000
Pu 3.027 0.000 0.000
Pu 2.292 3.970 0.000
Al 0.000 0.000 0.000
Hg 0.000 4.394 1.986
Hg 3.806 2.197 1.986
Pd -2.944 5.099 1.986
Pd 0.862 1.492 1.986
Pd 5.888 0.000 1.986
CELL_PARAMETERS angstrom
7.611 0.000 0.000
-3.806 6.591 0.000
0.000 0.000 3.972
```

The density is 12.3 g cm⁻³. Its space-group type is P-62m, No. 189. The value obtained for the energy of formation from the pure elements is -0.284 eV per atom. The total energy comes out at -65.474 eV/cell.

PuUS2: optimized geometry, PBE-GGA. Values from VASP.

The structure in Quantum ESPRESSO input format:
```
&SYSTEM
  ibrav = 0, nat = 4, ntyp = 3
/
ATOMIC_SPECIES
Pu 244.00 Pu.upf
U 238.03 U.upf
S 32.06 S.upf
ATOMIC_POSITIONS angstrom
Pu 0.000 0.000 0.000
U 0.000 0.000 3.407
S 1.708 1.708 1.757
S 1.708 1.708 5.056
CELL_PARAMETERS angstrom
3.415 0.000 0.000
0.000 3.415 0.000
0.000 0.000 6.813
```

The density is 11.4 g cm⁻³. Its space-group type is P4/mmm, No. 123. The total energy comes out at -38.867 eV/cell. The value obtained for the offset from the most stable computed form is 301.5 meV/atom. As for the uncorrected formation energy: -4.992 eV per formula unit.